# 1
{"formula": "Hg3PSe4", "functional": "PBE-GGA", "state": "optimized geometry", "lattice_angstrom": [[5.8902, 0.0000, 0.0000], [0.0000, 5.8250, 0.0000], [0.0000, 0.0000, 11.4369]], "species": ["P", "P", "Se", "Se", "Se", "Se", "Se", "Se", "Se", "Se", "Hg", "Hg", "Hg", "Hg", "Hg", "Hg"], "frac_coords": [[0.0344, 0.2210, 0.0000], [0.5344, 0.7790, 0.5000], [0.0634, 0.2510, 0.7620], [0.5722, 0.1737, 0.5000], [0.1428, 0.7463, 0.5000], [0.5634, 0.7490, 0.2620], [0.6428, 0.2537, 0.0000], [0.0634, 0.2510, 0.2380], [0.5634, 0.7490, 0.7380], [0.0722, 0.8263, 0.0000], [0.0411, 0.7383, 0.2506], [0.0569, 0.2542, 0.5000], [0.5411, 0.2617, 0.2494], [0.5569, 0.7458, 0.0000], [0.0411, 0.7383, 0.7494], [0.5411, 0.2617, 0.7506]], "volume_a3_per_cell": 392.4, "crystal_system": "orthorhombic", "magmom_total_mub_per_cell": 0.00, "n_ef_per_ev_cell": 1.39, "formation_energy_uncorrected_ev_per_atom": -0.03}

=====

# 2
{"formula": "Er8Ge5Sb", "functional": "PBE-GGA", "state": "optimized geometry", "lattice_angstrom": [[7.2023, 0.0000, -2.5431], [-3.5621, 6.2581, -2.5473], [-0.0782, 0.0000, 7.6377]], "species": ["Ge", "Ge", "Ge", "Ge", "Ge", "Er", "Er", "Er", "Er", "Er", "Er", "Er", "Er", "Sb"], "frac_coords": [[0.5000, 0.0000, 0.5000], [0.3730, 0.1207, 0.9947], [0.7477, 0.6217, 0.6270], [0.0053, 0.3783, 0.1261], [0.8739, 0.8793, 0.2523], [0.2596, 0.2428, 0.3619], [0.6381, 0.8977, 0.8809], [0.9832, 0.1023, 0.7404], [0.4971, 0.6206, 0.2495], [0.1191, 0.7572, 0.0168], [0.7505, 0.2475, 0.3711], [0.1236, 0.7525, 0.5029], [0.6289, 0.3794, 0.8764], [0.2500, 0.5000, 0.7500]], "volume_a3_per_cell": 343.0, "crystal_system": "tetragonal", "magmom_total_mub_per_cell": 0.00, "n_ef_per_ev_cell": 7.55, "formation_energy_uncorrected_ev_per_atom": -0.86}

=====

# 3
{"formula": "Ca2W2N5", "functional": "PBE-GGA", "state": "optimized geometry", "lattice_angstrom": [[-1.3993, -2.4063, -2.4554], [-0.1467, -2.9591, 5.7889], [-5.1686, 2.8045, 0.1972]], "species": ["N", "N", "N", "N", "N", "W", "W", "Ca", "Ca"], "frac_coords": [[0.3202, 0.6404, 0.9831], [0.1125, 0.2249, 0.5847], [0.0000, 0.0000, 0.0000], [0.8875, 0.7751, 0.4153], [0.6798, 0.3596, 0.0169], [0.1452, 0.2904, 0.8938], [0.8548, 0.7096, 0.1062], [0.4240, 0.8481, 0.6902], [0.5760, 0.1519, 0.3098]], "volume_a3_per_cell": 134.0, "crystal_system": "monoclinic", "magmom_total_mub_per_cell": 0.00, "n_ef_per_ev_cell": 1.00, "formation_energy_uncorrected_ev_per_atom": -0.77}

=====

# 4
{"formula": "TiCoIN2", "functional": "PBE-GGA", "state": "optimized geometry", "lattice_angstrom": [[-2.8319, 0.5060, 2.5832], [1.4502, -2.8665, 2.1514], [3.4407, 3.9858, 2.9913]], "species": ["N", "N", "Ti", "I", "Co"], "frac_coords": [[0.5000, 0.0000, 0.0000], [0.0000, 0.5000, 0.0000], [0.0000, 0.0000, 0.0000], [0.0000, 0.0000, 0.5000], [0.5000, 0.5000, 0.5000]], "volume_a3_per_cell": 90.5, "crystal_system": "tetragonal", "magmom_total_mub_per_cell": 2.09, "n_ef_per_ev_cell": 5.84, "e_above_lowest_polymorph_kj_per_mol_atoms": 0.0, "formation_energy_uncorrected_ev_per_atom": 0.66}

=====

# 5
{"formula": "HI2Br5", "functional": "PBE-GGA", "state": "optimized geometry", "lattice_angstrom": [[7.0080, -0.0007, 3.6893], [-1.9441, 6.7302, 3.6942], [-0.1893, -0.2589, 8.8613]], "species": ["Br", "Br", "Br", "Br", "Br", "I", "I", "H"], "frac_coords": [[0.1593, 0.1595, 0.6810], [0.1587, 0.6595, 0.1816], [0.6598, 0.6600, 0.1811], [0.6598, 0.1589, 0.1811], [0.1587, 0.1589, 0.1816], [0.4353, 0.9356, 0.1288], [0.9353, 0.4355, 0.1289], [0.0561, 0.0551, 0.8899]], "volume_a3_per_cell": 431.2, "dft_energy_ev_per_atom": -1.887, "crystal_system": "monoclinic", "magmom_total_mub_per_cell": 0.00, "n_ef_per_ev_cell": 4.46}

=====

# 6
{"formula": "YAg2Se", "functional": "PBE-GGA", "state": "optimized geometry", "lattice_angstrom": [[8.2487, 0.0000, 0.0000], [0.0000, 8.2487, 0.0000], [4.1244, 4.1244, 2.7600]], "species": ["Se", "Se", "Ag", "Ag", "Ag", "Ag", "Y", "Y"], "frac_coords": [[0.5000, 0.5000, 0.0000], [0.2500, 0.7500, 0.5000], [0.1597, 0.6250, 0.2500], [0.8750, 0.8403, 0.7500], [0.3750, 0.4097, 0.7500], [0.5903, 0.1250, 0.2500], [0.7500, 0.2500, 0.5000], [0.0000, 0.0000, 0.0000]], "volume_a3_per_cell": 187.8, "crystal_system": "tetragonal", "magmom_total_mub_per_cell": 0.00, "n_ef_per_ev_cell": 5.76, "formation_energy_uncorrected_ev_per_atom": -0.42}

=====

# 7
{"formula": "Ho2UIn3Se6", "functional": "PBE-GGA", "state": "optimized geometry", "lattice_angstrom": [[-1.0608, -2.6763, 6.5642], [-4.4029, -1.8061, -5.3599], [6.4160, -4.5745, -2.1321]], "species": ["Se", "Se", "Se", "Se", "Se", "Se", "In", "In", "In", "Ho", "Ho", "U"], "frac_coords": [[0.9305, 0.5936, 0.7916], [0.7323, 0.7323, 0.2079], [0.5936, 0.9305, 0.7916], [0.4064, 0.0695, 0.2084], [0.2677, 0.2677, 0.7921], [0.0695, 0.4064, 0.2084], [0.5000, 0.5000, 0.5000], [0.8335, 0.1665, 0.5000], [0.1665, 0.8335, 0.5000], [0.3333, 0.6667, 0.0000], [0.6667, 0.3333, 0.0000], [0.0000, 0.0000, 0.0000]], "volume_a3_per_cell": 347.4, "crystal_system": "monoclinic", "magmom_total_mub_per_cell": 3.02, "n_ef_per_ev_cell": 4.63, "formation_energy_uncorrected_ev_per_atom": -1.11}

=====

# 8
{"formula": "SrC5", "functional": "PBE-GGA", "state": "optimized geometry", "lattice_angstrom": [[2.4120, -4.1778, 0.0000], [2.4120, 4.1778, 0.0000], [0.0000, 0.0000, 2.6954]], "species": ["C", "C", "C", "C", "C", "Sr"], "frac_coords": [[0.3333, 0.6667, 0.5000], [0.5000, 0.5000, 0.0000], [0.5000, 0.0000, 0.0000], [0.0000, 0.5000, 0.0000], [0.6667, 0.3333, 0.5000], [0.0000, 0.0000, 0.5000]], "volume_a3_per_cell": 54.3, "formation_enthalpy_0k_mev_per_atom": 2740, "crystal_system": "hexagonal", "magmom_total_mub_per_cell": 0.00, "n_ef_per_ev_cell": 3.82, "e_above_lowest_polymorph_kj_per_mol_atoms": 192.9}